[1]
# Cs2KMgAg GGA-PBE optimized geometry
data_Cs2KMgAg
_cell_length_a 7.264
_cell_length_b 7.264
_cell_length_c 5.603
_cell_angle_alpha 90.00
_cell_angle_beta 90.00
_cell_angle_gamma 90.00
_space_group_name_H-M_alt 'P 1'
_space_group_IT_number 1
loop_
_space_group_symop_operation_xyz
'x,y,z'
loop_
_atom_site_label
_atom_site_fract_x
_atom_site_fract_y
_atom_site_fract_z
_atom_site_occupancy
Ag1 0.000 0.000 0.000 1
Cs1 0.500 0.000 0.000 1
Cs2 0.000 0.500 0.000 1
Mg1 0.000 0.000 0.500 1
K1 0.500 0.500 0.500 1
# Raw total energy ... -1.331 eV per atom
# DOS(E_F) ... 1.117 states/eV per atom
# SG ... P4/mmm, No. 123


[2]
# LiAcNd2 GGA-PBE optimized geometry
data_LiAcNd2
_cell_length_a 5.816
_cell_length_b 5.816
_cell_length_c 5.816
_cell_angle_alpha 60.00
_cell_angle_beta 60.00
_cell_angle_gamma 60.00
_space_group_name_H-M_alt 'P 1'
_space_group_IT_number 1
loop_
_space_group_symop_operation_xyz
'x,y,z'
loop_
_atom_site_label
_atom_site_fract_x
_atom_site_fract_y
_atom_site_fract_z
_atom_site_occupancy
Nd1 0.250 0.250 0.250 1
Nd2 0.750 0.750 0.750 1
Ac1 0.000 0.000 0.000 1
Li1 0.500 0.500 0.500 1
# DOS(E_F) ... 1.207 states/eV per atom
# SG ... Fm-3m, No. 225
# E above lowest polymorph ... 0.148 eV per atom


[3]
# Ta2CSI GGA-PBE optimized geometry
data_Ta2CSI
_cell_length_a 4.491
_cell_length_b 6.235
_cell_length_c 4.491
_cell_angle_alpha 90.00
_cell_angle_beta 90.00
_cell_angle_gamma 90.00
_space_group_name_H-M_alt 'P 1'
_space_group_IT_number 1
loop_
_space_group_symop_operation_xyz
'x,y,z'
loop_
_atom_site_label
_atom_site_fract_x
_atom_site_fract_y
_atom_site_fract_z
_atom_site_occupancy
I1 0.000 0.500 0.000 1
S1 0.000 0.000 0.000 1
C1 0.500 0.500 0.500 1
Ta1 0.000 0.000 0.500 1
Ta2 0.500 0.000 0.000 1
# E_form (uncorrected) ... 2206 meV/atom
# DOS(E_F) ... 0.789 states/eV per atom
# SG ... P4/mmm, No. 123


[4]
# PrTiPd2 GGA-PBE optimized geometry
data_PrTiPd2
_cell_length_a 3.253
_cell_length_b 3.253
_cell_length_c 7.434
_cell_angle_alpha 90.00
_cell_angle_beta 90.00
_cell_angle_gamma 90.00
_space_group_name_H-M_alt 'P 1'
_space_group_IT_number 1
loop_
_space_group_symop_operation_xyz
'x,y,z'
loop_
_atom_site_label
_atom_site_fract_x
_atom_site_fract_y
_atom_site_fract_z
_atom_site_occupancy
Ti1 0.500 0.500 0.000 1
Pd1 0.000 0.000 0.192 1
Pd2 0.000 0.000 0.808 1
Pr1 0.500 0.500 0.500 1
# DOS(E_F) ... 0.686 states/eV per atom
# SG ... P4/mmm, No. 123
# E above lowest polymorph ... 0.010 eV per atom